Compound: Mg6AlCd3
Source: Alexandria via LeMat-Bulk
Functional: PBE
Structure: optimized geometry

The symmetry is P2_1/m, No. 11.

a b c (Å): 5.049 8.308 11.177
angles (deg): 114.71 90.00 90.00
Atoms (fractional coordinates):
Cd: 0.750 0.228 0.028
Cd: 0.750 0.441 0.629
Cd: 0.250 0.559 0.371
Cd: 0.250 0.368 0.769
Cd: 0.250 0.772 0.972
Cd: 0.750 0.632 0.231
Al: 0.750 0.034 0.431
Al: 0.250 0.966 0.569
Mg: 0.250 0.864 0.278
Mg: 0.750 0.136 0.722
Mg: 0.750 0.535 0.931
Mg: 0.250 0.258 0.471
Mg: 0.250 0.668 0.669
Mg: 0.750 0.839 0.836
Mg: 0.750 0.931 0.138
Mg: 0.750 0.332 0.331
Mg: 0.250 0.161 0.164
Mg: 0.250 0.069 0.862
Mg: 0.250 0.465 0.069
Mg: 0.750 0.742 0.529

Compound: Mg2AlCd
Source: Alexandria via LeMat-Bulk
Functional: PBE
Structure: optimized geometry

The symmetry is I-4m2, No. 119.

a b c (Å): 5.398 5.398 5.398
angles (deg): 132.77 132.77 69.02
Atoms (fractional coordinates):
Al: 0.500 0.500 0.000
Mg: 0.250 0.750 0.500
Mg: 0.000 0.000 0.000
Cd: 0.750 0.250 0.500

Compound: Mg2AlCd
Source: Alexandria via LeMat-Bulk
Functional: PBE
Structure: optimized geometry

The symmetry is P4/mmm, No. 123.

a b c (Å): 3.391 3.391 7.167
angles (deg): 90.00 90.00 90.00
Atoms (fractional coordinates):
Cd: 0.500 0.500 0.500
Al: 0.500 0.500 0.000
Mg: 0.000 0.000 0.760
Mg: 0.000 0.000 0.240

Compound: Mg4AlCd
Source: Alexandria via LeMat-Bulk
Functional: PBE
Structure: optimized geometry

The symmetry is Pm, No. 6.

a b c (Å): 3.161 4.940 8.318
angles (deg): 90.00 102.20 90.01
Atoms (fractional coordinates):
Mg: 0.278 0.003 0.799
Mg: 0.968 0.003 0.147
Mg: 0.042 0.503 0.368
Mg: 0.722 0.503 0.694
Cd: 0.402 0.503 0.026
Al: 0.607 0.003 0.477

Compound: Mg2AlCd8
Source: Alexandria via LeMat-Bulk
Functional: PBE
Structure: optimized geometry

The symmetry is C2/m, No. 12.

a b c (Å): 6.027 6.275 8.102
angles (deg): 112.98 112.03 89.52
Atoms (fractional coordinates):
Cd: 0.729 0.393 0.000
Cd: 0.719 0.219 0.437
Cd: 0.769 0.680 0.776
Cd: 0.271 0.607 0.000
Cd: 0.281 0.781 0.563
Cd: 0.992 0.904 0.224
Cd: 0.231 0.320 0.224
Cd: 0.008 0.096 0.776
Mg: 0.305 0.305 0.610
Mg: 0.695 0.695 0.390
Al: 0.500 0.000 0.000

Compound: Mg2AlCd
Source: Alexandria via LeMat-Bulk
Functional: PBE
Structure: optimized geometry

The symmetry is I4/mmm, No. 139.

a b c (Å): 5.306 5.306 5.306
angles (deg): 131.39 131.39 71.19
Atoms (fractional coordinates):
Cd: 0.750 0.250 0.500
Mg: 0.000 0.000 0.000
Mg: 0.500 0.500 0.000
Al: 0.250 0.750 0.500

Compound: Mg3AlCd
Source: Alexandria via LeMat-Bulk
Functional: PBE
Structure: optimized geometry

The symmetry is C2/m, No. 12.

a b c (Å): 4.352 5.452 9.665
angles (deg): 90.22 90.00 113.52
Atoms (fractional coordinates):
Mg: 0.949 0.897 0.653
Mg: 0.442 0.885 0.141
Mg: 0.558 0.115 0.859
Mg: 0.254 0.509 0.761
Mg: 0.051 0.103 0.347
Mg: 0.746 0.491 0.239
Cd: 0.649 0.298 0.556
Cd: 0.351 0.702 0.444
Al: 0.857 0.713 0.952
Al: 0.143 0.287 0.048

Compound: Mg3AlCd3
Source: Alexandria via LeMat-Bulk
Functional: PBE
Structure: optimized geometry

The symmetry is Cmmm, No. 65.

a b c (Å): 6.045 6.045 8.788
angles (deg): 90.00 90.00 83.58
Atoms (fractional coordinates):
Mg: 0.500 0.000 0.246
Mg: 0.000 0.000 0.241
Mg: 0.500 0.000 0.754
Mg: 0.000 0.500 0.754
Mg: 0.000 0.000 0.759
Mg: 0.000 0.500 0.246
Cd: 0.292 0.708 0.500
Cd: 0.710 0.290 0.000
Cd: 0.708 0.292 0.500
Cd: 0.290 0.710 0.000
Cd: 0.774 0.774 0.500
Cd: 0.226 0.226 0.500
Al: 0.237 0.237 0.000
Al: 0.763 0.763 0.000

Table of electronic total energy (eV per atom), in record order: -1.67; -1.97; -1.98; -1.87; -1.23; -1.99; -1.92; -1.59
Table of total moment (μB per formula unit), in record order: 0.00; 0.00; 0.00; 0.00; 0.00; 0.00; 0.00; 0.00